1.
Density functional theory data (PBE) for an optimized crystal structure of Rb2CoRuCl6.

Cell lengths 7.234, 7.234, 9.094 Å; angles 90.00, 90.00, 90.00 degrees
Space group I4/mmm (No. 139)
Symmetry-distinct sites (fractional):
Rb: 0.000 0.500 0.250 (multiplicity 4)
Co: 0.000 0.000 0.000 (multiplicity 2)
Ru: 0.000 0.000 0.500 (multiplicity 2)
Cl: 0.000 0.000 0.243 (multiplicity 4)
Cl: 0.240 0.240 0.500 (multiplicity 8)

***

2.
Density functional theory data (PBE) for an optimized crystal structure of RbCoSbCl6.

Cell lengths 6.733, 11.663, 7.336 Å; angles 90.00, 90.18, 90.00 degrees
Space group C2 (No. 5)
Symmetry-distinct sites (fractional):
Rb: 0.000 0.000 0.000 (multiplicity 2)
Co: 0.000 0.667 0.500 (multiplicity 2)
Sb: 0.000 0.333 0.500 (multiplicity 2)
Cl: 0.123 0.512 0.699 (multiplicity 4)
Cl: 0.168 0.808 0.696 (multiplicity 4)
Cl: 0.206 0.180 0.698 (multiplicity 4)

***

3.
Density functional theory data (PBE) for an optimized crystal structure of RbCo2SbCl8.

Cell lengths 6.4681, 6.4681, 29.5672 Å; angles 90.00, 90.00, 120.00 degrees
Space group R-3 (No. 148, hexagonal axes)
Symmetry-distinct sites (fractional):
Rb: 0.0000 0.0000 0.0000 (multiplicity 3)
Co: 0.0000 0.0000 0.2451 (multiplicity 6)
Sb: 0.0000 0.0000 0.5000 (multiplicity 3)
Cl: 0.0000 0.0000 0.3190 (multiplicity 6)
Cl: 0.0012 0.6647 0.5539 (multiplicity 18)

***

Result set for calculated total energy: -3.889 -3.594 -3.719 eV per atom, one per record in the order listed.
Result set for total magnetization: 6.000 6.000 18.000 Bohr magnetons per cell, one per record in the order listed.